1.
Below is a relaxed structure of Sc2NiH2, with properties calculated at the PBE-GGA level.

a b c (Å): 6.2491 6.2491 2.9676
angles (deg): 90.00 90.00 90.00
Last column: nearest neighbours and their distance in Å.
Element x y z (fractional)
Sc: 0.1854 0.3146 0.0000  6 H 2.24-2.47
Sc: 0.3146 0.8146 0.0000  6 H 2.24-2.47
Sc: 0.6854 0.1854 0.0000  6 H 2.24-2.47
Sc: 0.8146 0.6854 0.0000  6 H 2.24-2.47
Ni: 0.0000 0.0000 0.5000  4 H 2.47, 8 Sc 2.72
Ni: 0.5000 0.5000 0.5000  4 H 2.47, 8 Sc 2.72
H: 0.1250 0.6250 0.5000  1 H 2.21, 6 Sc 2.24-2.47, 2 Ni 2.47
H: 0.3750 0.1250 0.5000  1 H 2.21, 6 Sc 2.24-2.47, 2 Ni 2.47
H: 0.6250 0.8750 0.5000  1 H 2.21, 6 Sc 2.24-2.47, 2 Ni 2.47
H: 0.8750 0.3750 0.5000  1 H 2.21, 6 Sc 2.24-2.47, 2 Ni 2.47

- polymorph energy (0 for the lowest one) (meV/atom) = 339.8

=====

2.
Below is a relaxed structure of ScNi6H8, with properties calculated at the PBE-GGA level.

a b c (Å): 4.7965 4.7965 4.7965
angles (deg): 99.48 99.48 99.48
Last column: nearest neighbours and their distance in Å.
Element x y z (fractional)
Sc: 0.0000 0.0000 0.0000  8 H 2.13-2.21
Ni: 0.1316 0.5836 0.2940  4 H 1.68-1.72
Ni: 0.2940 0.1316 0.5836  4 H 1.68-1.72
Ni: 0.4164 0.7060 0.8684  4 H 1.68-1.72
Ni: 0.5836 0.2940 0.1316  4 H 1.68-1.72
Ni: 0.7060 0.8684 0.4164  4 H 1.68-1.72
Ni: 0.8684 0.4164 0.7060  4 H 1.68-1.72
H: 0.1627 0.7931 0.6282  3 Ni 1.69-1.72
H: 0.2069 0.3718 0.8373  3 Ni 1.69-1.72
H: 0.3124 0.3124 0.3124  3 Ni 1.68
H: 0.3718 0.8373 0.2069  3 Ni 1.69-1.72
H: 0.6282 0.1627 0.7931  3 Ni 1.69-1.72
H: 0.6876 0.6876 0.6876  3 Ni 1.68
H: 0.7931 0.6282 0.1627  3 Ni 1.69-1.72
H: 0.8373 0.2069 0.3718  3 Ni 1.69-1.72

=====

3.
Below is a relaxed structure of ScNiH3, with properties calculated at the PBE-GGA level.

a b c (Å): 5.5886 5.5886 5.0966
angles (deg): 108.01 108.01 33.84
Last column: nearest neighbours and their distance in Å.
Element x y z (fractional)
Sc: 0.1107 0.1107 0.3123  6 H 2.01-2.16
Sc: 0.8893 0.8893 0.6877  6 H 2.01-2.16
Ni: 0.3413 0.3413 0.1413  4 H 1.55-1.68
Ni: 0.6587 0.6587 0.8587  4 H 1.55-1.68
H: 0.1738 0.1738 0.9498  3 Ni 1.68-1.74
H: 0.3127 0.3127 0.4458  1 Ni 1.68
H: 0.4939 0.4939 0.2268  1 Ni 1.55
H: 0.5061 0.5061 0.7732  1 Ni 1.55
H: 0.6873 0.6873 0.5542  1 Ni 1.68
H: 0.8262 0.8262 0.0502  3 Ni 1.68-1.74

=====

4.
Below is a relaxed structure of ScNiH3, with properties calculated at the PBE-GGA level.

a b c (Å): 2.7995 4.0259 8.9683
angles (deg): 90.00 90.00 90.00
Last column: nearest neighbours and their distance in Å.
Element x y z (fractional)
Sc: 0.0000 0.0000 0.0000  4 H 1.91-2.04
Sc: 0.0000 0.5000 0.5000  4 H 1.91-2.04
Ni: 0.5000 0.0000 0.6745  5 H 1.62-1.69
Ni: 0.5000 0.5000 0.1745  5 H 1.62-1.69
H: 0.0000 0.2310 0.6922  2 Ni 1.69, 1 H 1.86
H: 0.0000 0.2690 0.1922  2 Ni 1.69, 1 H 1.86
H: 0.0000 0.7310 0.1922  2 Ni 1.69, 1 H 1.86
H: 0.0000 0.7690 0.6922  2 Ni 1.69, 1 H 1.86
H: 0.5000 0.0000 0.8551  1 Ni 1.62
H: 0.5000 0.5000 0.3551  1 Ni 1.62

=====

5.
Below is a relaxed structure of ScNi2H, with properties calculated at the PBE-GGA level.

a b c (Å): 2.7759 2.7759 20.7645
angles (deg): 90.00 90.00 120.00
Last column: nearest neighbours and their distance in Å.
Element x y z (fractional)
Sc: 0.0000 0.0000 0.0000  2 Ni 2.47
Sc: 0.3333 0.6667 0.6667  2 Ni 2.47
Sc: 0.6667 0.3333 0.3333  2 Ni 2.47
Ni: 0.0000 0.0000 0.1188  3 H 1.89
Ni: 0.0000 0.0000 0.8812  3 H 1.89
Ni: 0.3333 0.6667 0.5479  3 H 1.89
Ni: 0.3333 0.6667 0.7854  3 H 1.89
Ni: 0.6667 0.3333 0.2146  3 H 1.89
Ni: 0.6667 0.3333 0.4521  3 H 1.89
H: 0.0000 0.0000 0.5000  6 Ni 1.89
H: 0.3333 0.6667 0.1667  6 Ni 1.89
H: 0.6667 0.3333 0.8333  6 Ni 1.89

- polymorph energy (0 for the lowest one) (meV/atom) = 560.5

=====

6.
Below is a relaxed structure of ScNi5H7, with properties calculated at the PBE-GGA level.

a b c (Å): 5.0106 5.0106 4.6978
angles (deg): 114.20 114.20 96.70
Last column: nearest neighbours and their distance in Å.
Element x y z (fractional)
Sc: 0.0000 0.0000 0.0000  4 H 2.11-2.31
Ni: 0.0372 0.3918 0.7183  5 H 1.68-1.79
Ni: 0.3918 0.0372 0.7183  5 H 1.68-1.79
Ni: 0.5036 0.5036 0.6187  4 H 1.65-1.80
Ni: 0.5558 0.8989 0.2362  5 H 1.70-1.88
Ni: 0.8989 0.5558 0.2362  5 H 1.70-1.88
H: 0.1860 0.6745 0.1483  3 Ni 1.68-1.84
H: 0.2103 0.6719 0.6467  4 Ni 1.70-1.80
H: 0.4217 0.4217 0.8975  3 Ni 1.70-1.72
H: 0.6651 0.6651 0.4585  1 Ni 1.65
H: 0.6719 0.2103 0.6467  4 Ni 1.70-1.80
H: 0.6745 0.1860 0.1483  3 Ni 1.68-1.84
H: 0.9879 0.9879 0.4814  4 Ni 1.79-1.88

=====

7.
Below is a relaxed structure of Sc3NiH, with properties calculated at the PBE-GGA level.

a b c (Å): 4.3228 4.3228 4.3228
angles (deg): 90.00 90.00 90.00
Last column: nearest neighbours and their distance in Å.
Element x y z (fractional)
Sc: 0.0000 0.0000 0.5000  2 H 2.16
Sc: 0.0000 0.5000 0.0000  2 H 2.16
Sc: 0.5000 0.0000 0.0000  2 H 2.16
Ni: 0.5000 0.5000 0.5000  12 Sc 3.06
H: 0.0000 0.0000 0.0000  6 Sc 2.16

- polymorph energy (0 for the lowest one) (meV/atom) = 0.0

=====

8.
Below is a relaxed structure of ScNiH3, with properties calculated at the PBE-GGA level.

a b c (Å): 5.5636 5.5636 5.6217
angles (deg): 102.04 102.04 100.59
Last column: nearest neighbours and their distance in Å.
Element x y z (fractional)
Sc: 0.0933 0.9067 0.7500  6 H 2.00-2.06
Sc: 0.3339 0.6661 0.2500  10 H 2.13-2.36
Sc: 0.6661 0.3339 0.7500  10 H 2.13-2.36
Sc: 0.9067 0.0933 0.2500  6 H 2.00-2.06
Ni: 0.1884 0.4341 0.6810  3 H 1.60-1.65
Ni: 0.4341 0.1884 0.1810  3 H 1.60-1.65
Ni: 0.5659 0.8116 0.8190  3 H 1.60-1.65
Ni: 0.8116 0.5659 0.3190  3 H 1.60-1.65
H: 0.0418 0.8115 0.3765  1 Ni 1.62
H: 0.0648 0.5845 0.8786  1 Ni 1.60
H: 0.1885 0.9582 0.1235  1 Ni 1.62
H: 0.3053 0.3344 0.4428  1 Ni 1.65
H: 0.3344 0.3053 0.9428  1 Ni 1.65
H: 0.4155 0.9352 0.6214  1 Ni 1.60
H: 0.5845 0.0648 0.3786  1 Ni 1.60
H: 0.6656 0.6947 0.0572  1 Ni 1.65
H: 0.6947 0.6656 0.5572  1 Ni 1.65
H: 0.8115 0.0418 0.8765  1 Ni 1.62
H: 0.9352 0.4155 0.1214  1 Ni 1.60
H: 0.9582 0.1885 0.6235  1 Ni 1.62

=====

Record order is preserved below.
M_tot: 0.000, 0.000, 0.000, 0.001, 0.000, 0.000, 1.838, 0.000 μB/f.u.
Record order is preserved below.
Uncorrected energy: -5.26, -4.68, -4.80, -4.54, -5.07, -4.66, -5.78, -4.86 eV per atom